{
  "formula": "Tb2Nd8Tm3",
  "functional": "PBE-GGA",
  "state": "relaxed",
  "cell": [[5.652, 0.000, 0.788], [0.000, 7.718, 0.000], [-1.415, -3.859, 10.120]],
  "species": ["Tb", "Tb", "Nd", "Nd", "Nd", "Nd", "Nd", "Nd", "Nd", "Nd", "Tm", "Tm", "Tm"],
  "fractional_positions": [[0.499, 0.239, 0.479], [0.501, 0.761, 0.521], [0.001, 0.673, 0.346], [0.999, 0.327, 0.654], [0.999, 0.130, 0.260], [0.001, 0.870, 0.740], [0.500, 0.599, 0.790], [0.500, 0.191, 0.790], [0.500, 0.809, 0.210], [0.500, 0.401, 0.210], [0.500, 0.000, 0.000], [0.000, 0.286, 0.000], [0.000, 0.714, 0.000]],
  "mass_density_g_cm3": 7.3,
  "space_group": "C2/m, No. 12",
  "delta_e_f_ev_per_atom": 0.20,
  "volume_a3_per_fu": 450.1
}

***

{
  "formula": "Tb2Nd5Tm2",
  "functional": "PBE-GGA",
  "state": "relaxed",
  "cell": [[12.908, 0.000, 0.000], [0.000, 6.215, 0.000], [-6.454, -3.107, 7.578]],
  "species": ["Tb", "Tb", "Tb", "Tb", "Nd", "Nd", "Nd", "Nd", "Nd", "Nd", "Nd", "Nd", "Nd", "Nd", "Tm", "Tm", "Tm", "Tm"],
  "fractional_positions": [[0.000, 0.883, 0.000], [0.500, 0.383, 0.000], [0.193, 0.267, 0.500], [0.807, 0.767, 0.500], [0.253, 0.749, 0.903], [0.747, 0.846, 0.097], [0.150, 0.249, 0.903], [0.850, 0.346, 0.097], [0.329, 0.096, 0.288], [0.671, 0.808, 0.712], [0.459, 0.596, 0.288], [0.541, 0.308, 0.712], [0.074, 0.792, 0.500], [0.926, 0.292, 0.500], [0.186, 0.583, 0.272], [0.814, 0.311, 0.728], [0.586, 0.083, 0.272], [0.414, 0.811, 0.728]],
  "mass_density_g_cm3": 7.5,
  "space_group": "Ima2, No. 46",
  "delta_e_f_ev_per_atom": 0.17,
  "volume_a3_per_fu": 303.9
}

***

{
  "formula": "Tb2Nd3Tm8",
  "functional": "PBE-GGA",
  "state": "relaxed",
  "cell": [[5.528, 0.000, 0.775], [0.000, 7.670, 0.000], [-1.400, -3.835, 9.925]],
  "species": ["Tb", "Tb", "Nd", "Nd", "Nd", "Tm", "Tm", "Tm", "Tm", "Tm", "Tm", "Tm", "Tm"],
  "fractional_positions": [[0.499, 0.241, 0.482], [0.501, 0.759, 0.518], [0.500, 0.000, 0.000], [0.000, 0.293, 0.000], [0.000, 0.707, 0.000], [0.001, 0.670, 0.340], [0.999, 0.330, 0.660], [0.000, 0.135, 0.269], [0.000, 0.865, 0.731], [0.500, 0.599, 0.780], [0.500, 0.181, 0.780], [0.500, 0.819, 0.220], [0.500, 0.401, 0.220]],
  "mass_density_g_cm3": 8.1,
  "space_group": "C2/m, No. 12",
  "delta_e_f_ev_per_atom": 0.26,
  "volume_a3_per_fu": 429.2
}